[1]
InBI2O | PBE | relaxed

Lattice parameters (Å, degrees): 5.6916 5.6916 4.1769 90.00 90.00 90.00
Closest atoms and distances in Å follow each position.
Space group P4/mmm (No. 123)
Unique sites:
In 0.0000 0.0000 0.0000  2 O 2.09
B 0.5000 0.5000 0.5000  8 I 3.53
I 0.0000 0.5000 0.0000  2 In 2.85
O 0.0000 0.0000 0.5000  2 In 2.09

Output
Formation energy without anion corrections in kcal/mol of atoms: 14.6
Total DFT energy (no corrections) in eV/cell: -14.30


[2]
TmZr3Sb2 | PBE | relaxed

Lattice parameters (Å, degrees): 17.5988 4.0042 9.0733 90.00 114.63 90.00
Closest atoms and distances in Å follow each position.
Space group C2/m (No. 12)
Unique sites:
Tm 0.1123 0.0000 0.1208  6 Sb 3.04-3.20
Zr 0.0580 0.0000 0.6593  1 Zr 2.76, 2 Sb 2.89
Zr 0.1481 0.5000 0.4771  4 Sb 2.96-3.10
Zr 0.1860 0.5000 0.8962  4 Sb 2.93-3.15, 4 Zr 3.02-3.11
Sb 0.0085 0.5000 0.8317  4 Zr 2.89-3.00, 4 Tm 3.08-3.20, 1 Sb 3.19
Sb 0.2465 0.0000 0.7237  7 Zr 2.96-3.15, 2 Tm 3.04

Output
Formation energy without anion corrections in kcal/mol of atoms: -13.0
Total DFT energy (no corrections) in eV/cell: -167.02


[3]
ZrMnCd | PBE | relaxed

Lattice parameters (Å, degrees): 6.6031 6.6031 6.6031 90.00 90.00 90.00
Closest atoms and distances in Å follow each position.
Space group F-43m (No. 216)
Unique sites:
Zr 0.0000 0.0000 0.0000  4 Cd 2.86, 4 Mn 2.86
Mn 0.2500 0.2500 0.7500  4 Zr 2.86
Cd 0.2500 0.2500 0.2500  4 Zr 2.86

Output
Total DFT energy (no corrections) in eV/cell: -64.34
ΔE_f in meV/atom: 849


[4]
LaHoZnCd | PBE | relaxed

Lattice parameters (Å, degrees): 3.6657 3.6657 7.7794 90.00 90.00 90.00
Closest atoms and distances in Å follow each position.
Space group P4mm (No. 99)
Unique sites:
La 0.0000 0.0000 0.0000  4 Zn 3.27, 4 Cd 3.45, 1 Ho 3.58, 4 La 3.67
Ho 0.0000 0.0000 0.4605  4 Zn 3.04, 4 Cd 3.22
Zn 0.5000 0.5000 0.2569  4 Ho 3.04, 4 La 3.27
Cd 0.5000 0.5000 0.7065  4 Ho 3.22, 4 La 3.45, 1 Zn 3.50

Output
Total DFT energy (no corrections) in eV/cell: -13.00
ΔE_f in meV/atom: -325


[5]
DyHoPb | PBE | relaxed

Lattice parameters (Å, degrees): 3.5488 5.2776 9.8289 90.00 100.27 90.00
Closest atoms and distances in Å follow each position.
Space group P2_1/m (No. 11)
Unique sites:
Dy 0.1028 0.2500 0.2108  6 Pb 3.36-3.47, 1 Ho 3.51, 2 Dy 3.55
Ho 0.2869 0.2500 0.5742  1 Pb 3.18, 6 Ho 3.49-3.55, 1 Dy 3.51
Pb 0.4556 0.2500 0.9030  1 Ho 3.18, 4 Pb 3.24-3.55, 6 Dy 3.36-3.47

Output
Total DFT energy (no corrections) in eV/cell: -26.91
ΔE_f in meV/atom: -189


[6]
Ba3Sr3Ca5 | PBE | relaxed

Lattice parameters (Å, degrees): 11.1359 11.1359 7.0108 90.00 90.00 120.00
Closest atoms and distances in Å follow each position.
Space group P-62m (No. 189)
Unique sites:
Ba 0.0000 0.5410 0.0000  2 Ca 3.92, 2 Sr 4.24
Sr 0.0000 0.7556 0.5000  3 Ca 3.74-4.15
Ca 0.0000 0.3831 0.5000  2 Ca 3.47, 2 Sr 3.74
Ca 0.3333 0.6667 0.5000  3 Ca 3.47

Output
Total DFT energy (no corrections) in eV/cell: -15.87
ΔE_f in meV/atom: 450


[7]
Cu5AgAu6 | PBE | relaxed

Lattice parameters (Å, degrees): 4.1260 7.4326 12.2153 90.00 90.00 90.00
Closest atoms and distances in Å follow each position.
Space group Immm (No. 71)
Unique sites:
Cu 0.0000 0.0000 0.0000  8 Au 2.69-2.72, 4 Cu 2.96
Cu 0.0000 0.0000 0.3379  8 Au 2.71-2.84, 2 Ag 2.86, 2 Cu 2.87
Cu 0.0000 0.5000 0.3259  8 Au 2.72-2.74, 4 Cu 2.87-2.96
Ag 0.0000 0.5000 0.0000  8 Au 2.84-2.87, 4 Cu 2.86
Au 0.0000 0.2378 0.1693  7 Cu 2.71-2.84, 1 Ag 2.84, 4 Au 2.86-2.92
Au 0.0000 0.2685 0.5000  6 Cu 2.69-2.81, 2 Ag 2.87, 4 Au 2.92

Output
Total DFT energy (no corrections) in eV/cell: -86.82
ΔE_f in meV/atom: -35


[8]
TbHoTlNi | PBE | relaxed

Lattice parameters (Å, degrees): 7.2304 7.2304 7.2304 90.00 90.00 90.00
Closest atoms and distances in Å follow each position.
Space group F-43m (No. 216)
Unique sites:
Tb 0.0000 0.0000 0.0000  4 Tl 3.13, 4 Ni 3.13
Ho 0.0000 0.0000 0.5000  4 Tl 3.13, 4 Ni 3.13
Tl 0.2500 0.2500 0.7500  4 Tb 3.13, 4 Ho 3.13
Ni 0.2500 0.2500 0.2500  4 Tb 3.13, 4 Ho 3.13

Output
Total DFT energy (no corrections) in eV/cell: -73.41
ΔE_f in meV/atom: -249


[9]
HgTeIrO6 | PBE | relaxed

Lattice parameters (Å, degrees): 7.1019 7.2318 10.3651 90.00 90.00 90.00
Closest atoms and distances in Å follow each position.
Space group Imma (No. 74)
Unique sites:
Hg 0.0000 0.2500 0.0531  1 O 2.44
Te 0.0000 0.0000 0.5000  6 O 1.97
Ir 0.2500 0.2500 0.7500  6 O 1.91-1.98
O 0.0000 0.2500 0.4255  2 Te 1.97
O 0.0000 0.2500 0.8177  2 Ir 1.91
O 0.2081 0.0524 0.6206  1 Te 1.97, 1 Ir 1.98

Output
Formation energy without anion corrections in kcal/mol of atoms: -13.7
Total DFT energy (no corrections) in eV/cell: -189.53


[10]
CuC | PBE | relaxed

Lattice parameters (Å, degrees): 3.9588 3.9588 3.9588 90.00 90.00 90.00
Closest atoms and distances in Å follow each position.
Space group Pm-3m (No. 221)
Unique sites:
Cu 0.0000 0.0000 0.5000  4 C 1.98
C 0.0000 0.5000 0.5000  4 Cu 1.98

Output
Total DFT energy (no corrections) in eV/cell: -29.79
ΔE_f in meV/atom: 1695


[11]
TaWN | PBE | relaxed

Lattice parameters (Å, degrees): 5.2519 3.0112 5.2677 90.00 110.04 90.00
Closest atoms and distances in Å follow each position.
Space group P2/m (No. 10)
Unique sites:
Ta 0.0000 0.0000 0.0000  2 N 2.17
Ta 0.0000 0.5000 0.5000  4 N 2.14
W 0.5000 0.0000 0.5000  2 N 2.14
W 0.5000 0.5000 0.0000  4 N 2.12
N 0.2538 0.0000 0.7496  3 W 2.12-2.14, 3 Ta 2.14-2.17

Output
Formation energy without anion corrections in kcal/mol of atoms: -9.1
Total DFT energy (no corrections) in eV/cell: -68.62


| no. | total magnetic moment (Bohr magnetons per cell) |
| --- | --- |
| 1 | 0.03 |
| 2 | 0.00 |
| 3 | 13.26 |
| 4 | 0.00 |
| 5 | 0.00 |
| 6 | 2.86 |
| 7 | 0.00 |
| 8 | 0.00 |
| 9 | 0.00 |
| 10 | 0.00 |
| 11 | 0.00 |